A relaxed structure of Zr4In2Co5, computed with GGA-PBE.

a b c (Å): 6.7204 3.5669 8.0782
angles (deg): 90.00 95.02 90.00
Positions (direct):
Zr  0.2105  0.0000  0.1222
Zr  0.2619  0.0000  0.5673
Zr  0.7381  0.0000  0.4327
Zr  0.7895  0.0000  0.8778
In  0.3954  0.5000  0.8491
In  0.6046  0.5000  0.1509
Co  0.0000  0.5000  0.5000
Co  0.0197  0.5000  0.8022
Co  0.3399  0.5000  0.3638
Co  0.6601  0.5000  0.6362
Co  0.9803  0.5000  0.1978

Calculated values
The value obtained for the uncorrected energy is -6.8883 eV per atom. For the formation energy, the calculation gives -0.05 eV per atom. The magnetic moment comes out at 0.0 Bohr magnetons per cell.



A relaxed structure of YMg5Rh6, computed with GGA-PBE.

a b c (Å): 4.4791 6.4065 7.0632
angles (deg): 90.00 108.39 90.00
Positions (direct):
Y  0.0000  0.0000  0.0000
Mg  0.0000  0.5000  0.0000
Mg  0.3306  0.0000  0.6604
Mg  0.3338  0.5000  0.6671
Mg  0.6662  0.5000  0.3329
Mg  0.6694  0.0000  0.3396
Rh  0.1699  0.2568  0.3406
Rh  0.1699  0.7432  0.3406
Rh  0.5000  0.2622  0.0000
Rh  0.5000  0.7378  0.0000
Rh  0.8301  0.2568  0.6594
Rh  0.8301  0.7432  0.6594

Calculated values
The value obtained for the uncorrected energy is -5.4296 eV per atom. For the formation energy, the calculation gives -0.55 eV per atom. The magnetic moment comes out at 0.0 Bohr magnetons per cell.



A relaxed structure of SrSiBr6, computed with GGA-PBE.

a b c (Å): 7.0191 12.5330 6.8343
angles (deg): 90.00 105.17 90.00
Positions (direct):
Sr  0.0000  0.0000  0.0000
Sr  0.5000  0.5000  0.0000
Si  0.0000  0.5000  0.5000
Si  0.5000  0.0000  0.5000
Br  0.1863  0.3600  0.7138
Br  0.1863  0.6400  0.7138
Br  0.2411  0.5000  0.2994
Br  0.2589  0.0000  0.7006
Br  0.3137  0.1400  0.2862
Br  0.3137  0.8600  0.2862
Br  0.6863  0.1400  0.7138
Br  0.6863  0.8600  0.7138
Br  0.7411  0.0000  0.2994
Br  0.7589  0.5000  0.7006
Br  0.8137  0.3600  0.2862
Br  0.8137  0.6400  0.2862

Calculated values
For the formation energy (no corrections), the calculation gives -1.052 eV/atom. The value obtained for the uncorrected energy is -3.1951 eV per atom. The magnetic moment comes out at 0.0 Bohr magnetons per cell.



A relaxed structure of Pr12Tm6Th, computed with GGA-PBE.

a b c (Å): 9.6389 9.6389 9.6389
angles (deg): 111.01 111.01 111.01
Positions (direct):
Pr  0.0612  0.3754  0.5821
Pr  0.1033  0.7397  0.1562
Pr  0.1562  0.1033  0.7397
Pr  0.2603  0.8438  0.8967
Pr  0.3754  0.5821  0.0612
Pr  0.4179  0.9388  0.6246
Pr  0.5821  0.0612  0.3754
Pr  0.6246  0.4179  0.9388
Pr  0.7397  0.1562  0.1033
Pr  0.8438  0.8967  0.2603
Pr  0.8967  0.2603  0.8438
Pr  0.9388  0.6246  0.4179
Tm  0.2138  0.4678  0.3159
Tm  0.3159  0.2138  0.4678
Tm  0.4678  0.3159  0.2138
Tm  0.5322  0.6841  0.7862
Tm  0.6841  0.7862  0.5322
Tm  0.7862  0.5322  0.6841
Th  0.0000  0.0000  0.0000

Calculated values
The value obtained for the uncorrected energy is -4.7938 eV per atom. For the formation energy, the calculation gives 0.03 eV per atom. The magnetic moment comes out at 0.0 Bohr magnetons per cell.



A relaxed structure of YLuIn2, computed with GGA-PBE.

a b c (Å): 7.4658 7.4658 7.4658
angles (deg): 90.00 90.00 90.00
Positions (direct):
Y  0.0000  0.0000  0.0000
Y  0.0000  0.5000  0.5000
Y  0.5000  0.0000  0.5000
Y  0.5000  0.5000  0.0000
Lu  0.0000  0.0000  0.5000
Lu  0.0000  0.5000  0.0000
Lu  0.5000  0.0000  0.0000
Lu  0.5000  0.5000  0.5000
In  0.2500  0.2500  0.2500
In  0.2500  0.2500  0.7500
In  0.2500  0.7500  0.2500
In  0.2500  0.7500  0.7500
In  0.7500  0.2500  0.2500
In  0.7500  0.2500  0.7500
In  0.7500  0.7500  0.2500
In  0.7500  0.7500  0.7500

Calculated values
For the polymorph energy (0 for the lowest one), the calculation gives 0.00 eV/f.u. The value obtained for the uncorrected energy is -4.5605 eV per atom. For the formation energy, the calculation gives -0.45 eV per atom. The magnetic moment comes out at 0.0 Bohr magnetons per cell.



A relaxed structure of TePd23Pt6, computed with GGA-PBE.

a b c (Å): 9.6324 9.6324 9.6324
angles (deg): 131.74 131.74 70.63
Positions (direct):
Te  0.0000  0.0000  0.0000
Pd  0.0000  0.0000  0.5000
Pd  0.0000  0.5000  0.0000
Pd  0.0000  0.5000  0.5000
Pd  0.1214  0.3725  0.7489
Pd  0.1253  0.8708  0.2545
Pd  0.1292  0.3837  0.2545
Pd  0.1292  0.8747  0.7455
Pd  0.3725  0.1214  0.7489
Pd  0.3725  0.6236  0.2511
Pd  0.3764  0.6275  0.7489
Pd  0.3837  0.1292  0.2545
Pd  0.5000  0.0000  0.0000
Pd  0.5000  0.0000  0.5000
Pd  0.5000  0.5000  0.0000
Pd  0.5000  0.5000  0.5000
Pd  0.6163  0.8708  0.7455
Pd  0.6236  0.3725  0.2511
Pd  0.6275  0.3764  0.7489
Pd  0.6275  0.8786  0.2511
Pd  0.8708  0.1253  0.2545
Pd  0.8708  0.6163  0.7455
Pd  0.8747  0.1292  0.7455
Pd  0.8786  0.6275  0.2511
Pt  0.2509  0.2509  0.0000
Pt  0.2509  0.2509  0.5019
Pt  0.2509  0.7491  0.0000
Pt  0.7491  0.2509  0.0000
Pt  0.7491  0.7491  0.0000
Pt  0.7491  0.7491  0.4981

Calculated values
For the formation energy (no corrections), the calculation gives 0.026 eV/atom. The value obtained for the uncorrected energy is -5.2678 eV per atom. The magnetic moment comes out at 0.0 Bohr magnetons per cell.